A relaxed CeSmTmAl crystal. Source: the Alexandria database, functional PBE-GGA.

Properties
The formation energy is -0.8 kcal/mol of atoms. As for the total energy: -19.0 eV for the cell shown. The space-group type is F-43m.

Cell: 5.3550 5.3550 5.3550 Å, 60.00 60.00 60.00°
Positions (direct):
Ce 0.0000 0.0000 0.0000
Al 0.2500 0.2500 0.2500
Tm 0.7500 0.7500 0.7500
Sm 0.5000 0.5000 0.5000

***

A relaxed CeSmAlZn crystal. Source: the Alexandria database, functional PBE-GGA.

Properties
The formation energy is -6.5 kcal/mol of atoms. As for the total energy: -16.8 eV for the cell shown. The space-group type is F-43m.

Cell: 5.1736 5.1736 5.1736 Å, 60.00 60.00 60.00°
Positions (direct):
Zn 0.0000 0.0000 0.0000
Al 0.5000 0.5000 0.5000
Ce 0.7500 0.7500 0.7500
Sm 0.2500 0.2500 0.2500

***

A relaxed Ce2SmAl2Zn2 crystal. Source: the Alexandria database, functional PBE-GGA.

Properties
The formation energy is -7.9 kcal/mol of atoms. As for the total energy: -29.0 eV for the cell shown. The space-group type is R-3m.

Cell: 4.3890 4.3890 9.5345 Å, 76.69 76.69 60.00°
Positions (direct):
Sm 0.0000 0.0000 0.0000
Al 0.7385 0.7385 0.7844
Al 0.2615 0.2615 0.2156
Zn 0.4042 0.4042 0.7875
Zn 0.5958 0.5958 0.2125
Ce 0.8577 0.8577 0.4268
Ce 0.1423 0.1423 0.5732